Density functional theory data (SCAN) for a crystal of AlAg relaxed with PBEsol.

For the energy, the calculation gives -19.621 eV per atom. For the calculated density, the calculation gives 6.9 g cm⁻³. Its total magnetic moment is 0.00 μB/f.u.

It has space group C2 (No. 5), with a = 10.522 Å, b = 5.515 Å, c = 4.742 Å, α = 90.00°, β = 108.66° and γ = 90.00°. Symmetry generates all atoms from Al at (0.000, 0.000, 0.000), Al at (0.000, 0.268, 0.500), Al at (0.245, 0.756, 0.995), Ag at (0.000, 0.492, 0.000), Ag at (0.000, 0.770, 0.500) and Ag at (0.245, 0.009, 0.491).

=====

Density functional theory data (SCAN) for a crystal of AlAg relaxed with PBEsol.

For the energy, the calculation gives -19.631 eV per atom. For the calculated density, the calculation gives 6.9 g cm⁻³. Its total magnetic moment is 0.00 μB/f.u.

It has space group Cmm2 (No. 35), with a = 5.830 Å, b = 7.875 Å, c = 8.427 Å, α = 90.00°, β = 90.00° and γ = 90.00°. Symmetry generates all atoms from Al at (0.000, 0.000, 0.000), Al at (0.000, 0.000, 0.330), Al at (0.000, 0.000, 0.662), Al at (0.000, 0.500, 0.985), Al at (0.250, 0.250, 0.164), Ag at (0.000, 0.500, 0.308), Ag at (0.000, 0.500, 0.663), Ag at (0.250, 0.250, 0.491) and Ag at (0.250, 0.250, 0.838).

=====

Density functional theory data (SCAN) for a crystal of Al2Ag5 relaxed with PBEsol.

For the energy, the calculation gives -24.679 eV per atom. For the calculated density, the calculation gives 8.6 g cm⁻³. For the offset from the most stable computed form, the calculation gives 37.5 meV per atom. Its total magnetic moment is 0.00 μB/f.u.

It has space group R-3m (No. 166, hexagonal axes), with a = 2.8881 Å, b = 2.8881 Å, c = 47.3221 Å, α = 90.00°, β = 90.00° and γ = 120.00°. Symmetry generates all atoms from Al at (0.0000, 0.0000, 0.2136), Ag at (0.0000, 0.0000, 0.0741), Ag at (0.0000, 0.0000, 0.3579) and Ag at (0.0000, 0.0000, 0.5000).

=====

Density functional theory data (SCAN) for a crystal of Al3Ag relaxed with PBEsol.

For the energy, the calculation gives -13.666 eV per atom. For the calculated density, the calculation gives 4.8 g cm⁻³. Its total magnetic moment is 0.02 μB/f.u.

It has space group Fmmm (No. 69), with a = 5.745 Å, b = 8.005 Å, c = 11.360 Å, α = 90.00°, β = 90.00° and γ = 90.00°. Symmetry generates all atoms from Al at (0.000, 0.000, 0.124), Al at (0.250, 0.250, 0.000), Al at (0.250, 0.250, 0.250) and Ag at (0.000, 0.000, 0.373).

=====

Number 1: energy of formation from the pure elements -0.062 eV per atom. Number 2: energy of formation from the pure elements -0.071 eV per atom. Number 3: energy of formation from the pure elements -0.059 eV per atom. Number 4: energy of formation from the pure elements -0.010 eV per atom.